Below is a relaxed structure of KTlIn2Se, with properties calculated at the PBE level.

a b c (Å): 6.0905 6.0905 6.0818
angles (deg): 90.00 90.00 90.00
Closest atoms and distances in Å follow each position.
Fractional positions:
1 K 0.0000 0.0000 0.0000  2 Tl 3.04, 4 In 3.05
2 Tl 0.0000 0.0000 0.5000  2 K 3.04
3 In 0.0000 0.5000 0.0000  2 K 3.05
4 In 0.5000 0.0000 0.0000  2 K 3.05
5 Se 0.5000 0.5000 0.5000  8 In 4.30, 4 Tl 4.31

Summary:
Formation energy without anion corrections   722 meV per atom
SG   No. 123
M_tot   0.000 μB/atom

***

Below is a relaxed structure of Pr4Nd7In, with properties calculated at the PBE level.

a b c (Å): 8.7531 8.7531 9.5186
angles (deg): 113.82 113.82 40.97
Closest atoms and distances in Å follow each position.
Fractional positions:
1 Pr 0.0980 0.0980 0.4883  2 Pr 3.32-3.52, 4 Nd 3.54-3.69
2 Pr 0.2254 0.2254 0.2702  8 Nd 3.32-3.72, 1 Pr 3.52
3 Pr 0.7746 0.7746 0.7298  8 Nd 3.32-3.72, 1 Pr 3.52
4 Pr 0.9020 0.9020 0.5117  2 Pr 3.32-3.52, 4 Nd 3.54-3.69
5 Nd 0.0000 0.0000 0.0000  2 In 3.06
6 Nd 0.2240 0.2240 0.8985  6 Nd 3.52-3.88, 4 Pr 3.53-3.72
7 Nd 0.3469 0.3469 0.6538  1 In 3.17, 3 Pr 3.32-3.47, 1 Nd 3.39
8 Nd 0.4320 0.4320 0.2760  1 In 3.27, 1 Pr 3.36, 1 Nd 3.39
9 Nd 0.5680 0.5680 0.7240  1 In 3.27, 1 Pr 3.36, 1 Nd 3.39
10 Nd 0.6531 0.6531 0.3462  1 In 3.17, 3 Pr 3.32-3.47, 1 Nd 3.39
11 Nd 0.7760 0.7760 0.1015  6 Nd 3.52-3.88, 4 Pr 3.53-3.72
12 In 0.5000 0.5000 0.0000  6 Nd 3.06-3.27

Summary:
SG   No. 12
M_tot   0.000 μB/atom
Energy of formation from the pure elements   0.112 eV/atom

***

Below is a relaxed structure of Ba5In2H, with properties calculated at the PBE level.

a b c (Å): 7.5605 7.5632 7.5658
angles (deg): 94.47 116.42 118.48
Closest atoms and distances in Å follow each position.
Fractional positions:
1 Ba 0.0000 0.0000 0.0000  1 H 2.75
2 Ba 0.0029 0.6350 0.6317  1 H 2.74
3 Ba 0.3170 0.3653 0.5824  1 H 2.77
4 Ba 0.5345 0.6305 0.1651  1 H 2.75
5 Ba 0.5384 0.0022 0.5338  1 H 2.74
6 In 0.5790 0.1270 0.0829  1 In 2.96
7 In 0.9613 0.5091 0.0820  1 In 2.96
8 H 0.6760 0.7240 0.5828  5 Ba 2.74-2.77

Summary:
SG   No. 1
M_tot   0.000 μB/atom

***

Below is a relaxed structure of KTaHgSe4, with properties calculated at the PBE level.

a b c (Å): 6.2735 7.8747 9.6395
angles (deg): 90.00 103.56 90.00
Closest atoms and distances in Å follow each position.
Fractional positions:
1 K 0.2456 0.2500 0.4084  5 Se 3.40-3.79
2 K 0.7544 0.7500 0.5916  5 Se 3.40-3.79
3 Ta 0.3244 0.7500 0.2093  4 Se 2.42-2.44
4 Ta 0.6756 0.2500 0.7907  4 Se 2.42-2.44
5 Hg 0.1912 0.2500 0.8346  4 Se 2.60-2.88
6 Hg 0.8088 0.7500 0.1654  4 Se 2.60-2.88
7 Se 0.0532 0.7500 0.9814  1 Ta 2.44, 1 Hg 2.60
8 Se 0.1656 0.7500 0.4156  1 Ta 2.42
9 Se 0.4522 0.5039 0.7797  1 Ta 2.43, 1 Hg 2.71
10 Se 0.4522 0.9961 0.7797  1 Ta 2.43, 1 Hg 2.71
11 Se 0.5478 0.0039 0.2203  1 Ta 2.43, 1 Hg 2.71
12 Se 0.5478 0.4961 0.2203  1 Ta 2.43, 1 Hg 2.71
13 Se 0.8344 0.2500 0.5844  1 Ta 2.42
14 Se 0.9468 0.2500 0.0186  1 Ta 2.44, 1 Hg 2.60

Summary:
Formation energy without anion corrections   -672 meV per atom
SG   No. 11
M_tot   0.000 μB/atom

***

Below is a relaxed structure of Tb4DyAg, with properties calculated at the PBE level.

a b c (Å): 10.7270 10.7270 6.4272
angles (deg): 90.00 90.00 150.55
Closest atoms and distances in Å follow each position.
Fractional positions:
1 Tb 0.0351 0.9649 0.5000  2 Ag 2.95-3.00, 1 Tb 3.21
2 Tb 0.1776 0.8224 0.3077  1 Ag 2.98, 3 Tb 3.16-3.21
3 Tb 0.2452 0.7548 0.7901  1 Ag 3.03, 2 Tb 3.16
4 Tb 0.4350 0.5650 0.6691  2 Ag 3.30, 2 Dy 3.51-3.53, 4 Tb 3.51-3.60
5 Tb 0.5650 0.4350 0.1691  2 Ag 3.30, 2 Dy 3.51-3.53, 4 Tb 3.51-3.60
6 Tb 0.7548 0.2452 0.2901  1 Ag 3.03, 2 Tb 3.16
7 Tb 0.8224 0.1776 0.8077  1 Ag 2.98, 3 Tb 3.16-3.21
8 Tb 0.9649 0.0351 0.0000  2 Ag 2.95-3.00, 1 Tb 3.21
9 Dy 0.3658 0.6342 0.1674  2 Ag 3.20, 5 Tb 3.48-3.58
10 Dy 0.6342 0.3658 0.6674  2 Ag 3.20, 5 Tb 3.48-3.58
11 Ag 0.1041 0.8959 0.9099  6 Tb 2.95-3.30, 2 Dy 3.20
12 Ag 0.8959 0.1041 0.4099  6 Tb 2.95-3.30, 2 Dy 3.20

Summary:
SG   No. 36
M_tot   0.000 μB/atom
Energy of formation from the pure elements   0.044 eV/atom
Polymorph energy (0 for the lowest one)   0.75 eV/f.u.

***

Below is a relaxed structure of Zn2SnRh2, with properties calculated at the PBE level.

a b c (Å): 7.1153 7.1153 3.1918
angles (deg): 90.00 90.00 90.00
Closest atoms and distances in Å follow each position.
Fractional positions:
1 Zn 0.1393 0.3607 0.0000  6 Rh 2.61-2.64, 1 Zn 2.80
2 Zn 0.3607 0.8607 0.0000  6 Rh 2.61-2.64, 1 Zn 2.80
3 Zn 0.6393 0.1393 0.0000  6 Rh 2.61-2.64, 1 Zn 2.80
4 Zn 0.8607 0.6393 0.0000  6 Rh 2.61-2.64, 1 Zn 2.80
5 Sn 0.0000 0.0000 0.5000  4 Rh 2.69
6 Sn 0.5000 0.5000 0.5000  4 Rh 2.69
7 Rh 0.1557 0.6557 0.5000  6 Zn 2.61-2.64, 2 Sn 2.69
8 Rh 0.3443 0.1557 0.5000  6 Zn 2.61-2.64, 2 Sn 2.69
9 Rh 0.6557 0.8443 0.5000  6 Zn 2.61-2.64, 2 Sn 2.69
10 Rh 0.8443 0.3443 0.5000  6 Zn 2.61-2.64, 2 Sn 2.69

Summary:
SG   No. 127
M_tot   0.000 μB/atom
Energy of formation from the pure elements   -0.294 eV/atom
Polymorph energy (0 for the lowest one)   0.00 eV/f.u.

***

Below is a relaxed structure of MnSnPd5, with properties calculated at the PBE level.

a b c (Å): 3.9641 3.9641 7.5734
angles (deg): 90.00 90.00 90.00
Closest atoms and distances in Å follow each position.
Fractional positions:
1 Mn 0.0000 0.0000 0.0000  12 Pd 2.78-2.80
2 Sn 0.5000 0.5000 0.5000  8 Pd 2.70
3 Pd 0.0000 0.5000 0.2583  2 Sn 2.70, 6 Pd 2.78-2.80, 2 Mn 2.78
4 Pd 0.0000 0.5000 0.7417  2 Sn 2.70, 6 Pd 2.78-2.80, 2 Mn 2.78
5 Pd 0.5000 0.0000 0.2583  2 Sn 2.70, 6 Pd 2.78-2.80, 2 Mn 2.78
6 Pd 0.5000 0.0000 0.7417  2 Sn 2.70, 6 Pd 2.78-2.80, 2 Mn 2.78
7 Pd 0.5000 0.5000 0.0000  8 Pd 2.78, 4 Mn 2.80

Summary:
SG   No. 123
M_tot   0.604 μB/atom
Energy of formation from the pure elements   -0.323 eV/atom
Polymorph energy (0 for the lowest one)   0.00 eV/f.u.

***

Below is a relaxed structure of Pm3UO7, with properties calculated at the PBE level.

a b c (Å): 6.7505 6.7505 7.8972
angles (deg): 90.00 90.00 109.82
Closest atoms and distances in Å follow each position.
Fractional positions:
1 Pm 0.0000 0.0000 0.0000  8 O 2.45-2.67
2 Pm 0.0000 0.0000 0.5000  8 O 2.45-2.67
3 Pm 0.0320 0.5029 0.7500  7 O 2.31-2.53
4 Pm 0.4971 0.9680 0.7500  7 O 2.31-2.53
5 Pm 0.5029 0.0320 0.2500  7 O 2.31-2.53
6 Pm 0.9680 0.4971 0.2500  7 O 2.31-2.53
7 U 0.5000 0.5000 0.0000  6 O 2.12-2.20
8 U 0.5000 0.5000 0.5000  6 O 2.12-2.20
9 O 0.1316 0.8684 0.2500  4 Pm 2.37-2.45
10 O 0.1337 0.8663 0.7500  4 Pm 2.31-2.47
11 O 0.1696 0.4172 0.0290  1 U 2.12
12 O 0.1696 0.4172 0.4710  1 U 2.12
13 O 0.4122 0.5878 0.7500  2 U 2.20, 2 Pm 2.43
14 O 0.4172 0.1696 0.5290  1 U 2.12
15 O 0.4172 0.1696 0.9710  1 U 2.12
16 O 0.5828 0.8304 0.0290  1 U 2.12
17 O 0.5828 0.8304 0.4710  1 U 2.12
18 O 0.5878 0.4122 0.2500  2 U 2.20, 2 Pm 2.43
19 O 0.8304 0.5828 0.5290  1 U 2.12
20 O 0.8304 0.5828 0.9710  1 U 2.12
21 O 0.8663 0.1337 0.2500  4 Pm 2.31-2.47
22 O 0.8684 0.1316 0.7500  4 Pm 2.37-2.45

Summary:
Formation energy without anion corrections   -3436 meV per atom
SG   No. 63
M_tot   0.091 μB/atom

***

Below is a relaxed structure of VSe3Br, with properties calculated at the PBE level.

a b c (Å): 7.6691 7.6691 6.9639
angles (deg): 100.45 100.45 126.79
Closest atoms and distances in Å follow each position.
Fractional positions:
1 V 0.0287 0.9713 0.7500  5 Se 2.33-2.57, 1 Br 2.44
2 V 0.9713 0.0287 0.2500  5 Se 2.33-2.57, 1 Br 2.44
3 Se 0.1410 0.8590 0.2500  1 V 2.33, 2 Se 2.58
4 Se 0.2133 0.3141 0.0767  2 V 2.51-2.57, 1 Se 2.58
5 Se 0.3141 0.2133 0.5767  2 V 2.51-2.57, 1 Se 2.58
6 Se 0.6859 0.7867 0.4233  2 V 2.51-2.57, 1 Se 2.58
7 Se 0.7867 0.6859 0.9233  2 V 2.51-2.57, 1 Se 2.58
8 Se 0.8590 0.1410 0.7500  1 V 2.33, 2 Se 2.58
9 Br 0.2066 0.7934 0.7500  1 V 2.44
10 Br 0.7934 0.2066 0.2500  1 V 2.44

Summary:
Formation energy without anion corrections   -292 meV per atom
SG   No. 15
M_tot   0.068 μB/atom
Polymorph energy (0 for the lowest one)   0.00 eV/f.u.

***

Below is a relaxed structure of Rb2LiBiF6, with properties calculated at the PBE level.

a b c (Å): 6.2426 6.2426 6.2426
angles (deg): 60.00 60.00 60.00
Closest atoms and distances in Å follow each position.
Fractional positions:
1 Rb 0.2500 0.2500 0.2500  12 F 3.12
2 Rb 0.7500 0.7500 0.7500  12 F 3.12
3 Li 0.0000 0.0000 0.0000  6 F 2.14
4 Bi 0.5000 0.5000 0.5000  6 F 2.28
5 F 0.2421 0.2421 0.7579  1 Li 2.14, 1 Bi 2.28
6 F 0.2421 0.7579 0.2421  1 Li 2.14, 1 Bi 2.28
7 F 0.2421 0.7579 0.7579  1 Li 2.14, 1 Bi 2.28
8 F 0.7579 0.2421 0.2421  1 Li 2.14, 1 Bi 2.28
9 F 0.7579 0.2421 0.7579  1 Li 2.14, 1 Bi 2.28
10 F 0.7579 0.7579 0.2421  1 Li 2.14, 1 Bi 2.28

Summary:
Formation energy without anion corrections   -2685 meV per atom
SG   No. 225
M_tot   0.000 μB/atom

***

Below is a relaxed structure of HfNF3, with properties calculated at the PBE level.

a b c (Å): 4.1094 4.1094 4.1094
angles (deg): 90.00 90.00 90.00
Closest atoms and distances in Å follow each position.
Fractional positions:
1 Hf 0.0000 0.0000 0.0000  6 F 2.05
2 N 0.5000 0.5000 0.5000  12 F 2.91
3 F 0.0000 0.0000 0.5000  2 Hf 2.05
4 F 0.0000 0.5000 0.0000  2 Hf 2.05
5 F 0.5000 0.0000 0.0000  2 Hf 2.05

Summary:
Formation energy without anion corrections   -1742 meV per atom
SG   No. 221
M_tot   0.400 μB/atom
Polymorph energy (0 for the lowest one)   0.00 eV/f.u.

***

Below is a relaxed structure of RhAuS2, with properties calculated at the PBE level.

a b c (Å): 6.6064 6.6064 7.3321
angles (deg): 120.09 120.09 31.94
Closest atoms and distances in Å follow each position.
Fractional positions:
1 Rh 0.2363 0.2363 0.1889  3 S 2.29-2.32
2 Rh 0.7637 0.7637 0.8111  3 S 2.29-2.32
3 Au 0.4245 0.4245 0.1001  2 S 2.60, 3 Rh 2.73-2.79
4 Au 0.5755 0.5755 0.8999  2 S 2.60, 3 Rh 2.73-2.79
5 S 0.0933 0.0933 0.2958  1 S 2.07
6 S 0.1510 0.1510 0.6167  1 S 2.07, 2 Rh 2.29
7 S 0.8490 0.8490 0.3833  1 S 2.07, 2 Rh 2.29
8 S 0.9067 0.9067 0.7042  1 S 2.07

Summary:
Formation energy without anion corrections   -37 meV per atom
SG   No. 12
M_tot   0.000 μB/atom

***

Below is a relaxed structure of Nd7Y2Th, with properties calculated at the PBE level.

a b c (Å): 10.5315 10.5315 3.4860
angles (deg): 90.00 90.00 109.09
Closest atoms and distances in Å follow each position.
Fractional positions:
1 Nd 0.0000 0.0000 0.0000  10 Nd 3.45-3.71
2 Nd 0.1179 0.3725 0.0000  1 Y 3.18, 4 Nd 3.49-3.56
3 Nd 0.1739 0.8261 0.5000  2 Y 3.25, 8 Nd 3.45-3.56
4 Nd 0.3725 0.1179 0.0000  1 Y 3.18, 4 Nd 3.49-3.56
5 Nd 0.6275 0.8821 0.0000  1 Y 3.18, 4 Nd 3.49-3.56
6 Nd 0.8261 0.1739 0.5000  2 Y 3.25, 8 Nd 3.45-3.56
7 Nd 0.8821 0.6275 0.0000  1 Y 3.18, 4 Nd 3.49-3.56
8 Y 0.3340 0.6660 0.0000  4 Nd 3.18-3.25, 2 Th 3.34, 2 Y 3.49
9 Y 0.6660 0.3340 0.0000  4 Nd 3.18-3.25, 2 Th 3.34, 2 Y 3.49
10 Th 0.5000 0.5000 0.5000  4 Y 3.34, 2 Th 3.49

Summary:
SG   No. 65
M_tot   0.000 μB/atom
Energy of formation from the pure elements   0.397 eV/atom

***

Below is a relaxed structure of Pm4DyCd, with properties calculated at the PBE level.

a b c (Å): 3.6545 3.6545 14.2944
angles (deg): 90.00 90.00 90.00
Closest atoms and distances in Å follow each position.
Fractional positions:
1 Pm 0.0000 0.0000 0.1470  4 Cd 3.33, 8 Pm 3.62-3.65
2 Pm 0.0000 0.0000 0.8530  4 Cd 3.33, 8 Pm 3.62-3.65
3 Pm 0.5000 0.5000 0.3247  4 Dy 3.60, 8 Pm 3.62-3.65
4 Pm 0.5000 0.5000 0.6753  4 Dy 3.60, 8 Pm 3.62-3.65
5 Dy 0.0000 0.0000 0.5000  8 Pm 3.60, 4 Dy 3.65
6 Cd 0.5000 0.5000 0.0000  8 Pm 3.33, 4 Cd 3.65

Summary:
SG   No. 123
M_tot   0.000 μB/atom
Energy of formation from the pure elements   -0.094 eV/atom
Polymorph energy (0 for the lowest one)   0.00 eV/f.u.

***

Below is a relaxed structure of Y3HoMg4, with properties calculated at the PBE level.

a b c (Å): 3.7950 3.7950 15.1942
angles (deg): 90.00 90.00 90.00
Closest atoms and distances in Å follow each position.
Fractional positions:
1 Y 0.0000 0.0000 0.0000  8 Mg 3.29
2 Y 0.0000 0.0000 0.2513  8 Mg 3.29
3 Y 0.0000 0.0000 0.7487  8 Mg 3.29
4 Ho 0.0000 0.0000 0.5000  8 Mg 3.27
5 Mg 0.5000 0.5000 0.1256  8 Y 3.29
6 Mg 0.5000 0.5000 0.3766  4 Ho 3.27, 4 Y 3.29
7 Mg 0.5000 0.5000 0.6234  4 Ho 3.27, 4 Y 3.29
8 Mg 0.5000 0.5000 0.8744  8 Y 3.29

Summary:
SG   No. 123
M_tot   0.000 μB/atom
Energy of formation from the pure elements   -0.101 eV/atom

***

Below is a relaxed structure of Cs2SrAsC, with properties calculated at the PBE level.

a b c (Å): 7.7928 7.7928 3.9837
angles (deg): 90.00 90.00 90.00
Closest atoms and distances in Å follow each position.
Fractional positions:
1 Cs 0.0000 0.5000 0.0000  2 As 3.90, 2 Cs 3.98
2 Cs 0.5000 0.0000 0.0000  2 As 3.90, 2 Cs 3.98
3 Sr 0.0000 0.0000 0.5000  2 Sr 3.98, 8 Cs 4.38
4 As 0.5000 0.5000 0.0000  2 C 1.99
5 C 0.5000 0.5000 0.5000  2 As 1.99

Summary:
SG   No. 123
M_tot   0.144 μB/atom
Energy of formation from the pure elements   0.856 eV/atom

***

Below is a relaxed structure of TaPbW, with properties calculated at the PBE level.

a b c (Å): 7.5425 7.2888 3.0624
angles (deg): 82.77 73.47 23.75
Closest atoms and distances in Å follow each position.
Fractional positions:
1 Ta 0.0000 0.0000 0.0000  2 W 2.62
2 Pb 0.3180 0.3180 0.6820  2 W 3.01, 6 Pb 3.06-3.35, 2 Ta 3.08
3 W 0.6418 0.6418 0.3582  2 Ta 2.62

Summary:
SG   No. 42
M_tot   0.000 μB/atom
Energy of formation from the pure elements   0.578 eV/atom
Polymorph energy (0 for the lowest one)   0.00 eV/f.u.

***

Below is a relaxed structure of Pr8GaRu3I4, with properties calculated at the PBE level.

a b c (Å): 9.5277 9.5277 9.5277
angles (deg): 53.08 53.08 53.08
Closest atoms and distances in Å follow each position.
Fractional positions:
1 Pr 0.2116 0.7360 0.7360  2 Ru 2.83, 1 Ga 2.98
2 Pr 0.2314 0.2314 0.2314  3 Ru 2.93
3 Pr 0.2640 0.2640 0.7884  2 Ru 2.83, 1 Ga 2.98
4 Pr 0.2640 0.7884 0.2640  2 Ru 2.83, 1 Ga 2.98
5 Pr 0.7360 0.2116 0.7360  2 Ru 2.83, 1 Ga 2.98
6 Pr 0.7360 0.7360 0.2116  2 Ru 2.83, 1 Ga 2.98
7 Pr 0.7686 0.7686 0.7686  3 Ru 2.93
8 Pr 0.7884 0.2640 0.2640  2 Ru 2.83, 1 Ga 2.98
9 Ga 0.5000 0.5000 0.5000  6 Pr 2.98
10 Ru 0.0000 0.0000 0.5000  6 Pr 2.83-2.93
11 Ru 0.0000 0.5000 0.0000  6 Pr 2.83-2.93
12 Ru 0.5000 0.0000 0.0000  6 Pr 2.83-2.93
13 I 0.0000 0.0000 0.0000  6 Pr 3.48
14 I 0.0000 0.5000 0.5000  6 Pr 3.50-3.61
15 I 0.5000 0.0000 0.5000  6 Pr 3.50-3.61
16 I 0.5000 0.5000 0.0000  6 Pr 3.50-3.61

Summary:
Formation energy without anion corrections   -676 meV per atom
SG   No. 166
M_tot   0.000 μB/atom

***

no.,energy (eV per atom)
1,-1.763
2,-4.491
3,-2.549
4,-4.556
5,-4.285
6,-4.545
7,-5.914
8,-8.913
9,-4.541
10,-4.581
11,-6.521
12,-4.758
13,-4.975
14,-4.181
15,-3.895
16,-2.596
17,-8.927
18,-5.381